GaPbSCl2 | PBE | optimized geometry

Structure (CIF):
```
data_GaPbSCl2
_chemical_formula_sum 'Ga1 Pb1 S1 Cl2'
_cell_length_a 7.051
_cell_length_b 7.051
_cell_length_c 8.410
_cell_angle_alpha 90.00
_cell_angle_beta 90.00
_cell_angle_gamma 90.00
_symmetry_space_group_name_H-M 'P 4/m m m'
_symmetry_Int_Tables_number 123
_symmetry_space_group_name_Hall '-P 4 2'
loop_
_atom_site_label
_atom_site_type_symbol
_atom_site_fract_x
_atom_site_fract_y
_atom_site_fract_z
_atom_site_occupancy
Ga1 Ga 0.000 0.000 0.000 1
Pb1 Pb 0.500 0.500 0.500 1
S1 S 0.500 0.500 0.000 1
Cl1 Cl 0.000 0.500 0.500 1
```

As for the crystal system: tetragonal. As for the energy above the most stable polymorph in this dataset: 1124 meV per atom. Its formation energy from raw total energies is 0.589 eV per atom. The value obtained for the uncorrected energy is -11.61 eV per formula unit.